[1]
# La3RhPb, relaxed, DFT PBE-GGA
# Crystal system   orthorhombic
# Distance to the lowest polymorph of the same formula   0.0 meV/atom
# Calculated formation energy   -0.65 eV/atom
data_La3RhPb
_cell_length_a 8.578
_cell_length_b 4.728
_cell_length_c 15.419
_cell_angle_alpha 90.00
_cell_angle_beta 90.00
_cell_angle_gamma 90.00
_space_group_name_H-M_alt 'P n m a'
_space_group_IT_number 62
loop_
_space_group_symop_operation_xyz
'x,y,z'
'-x,-y,-z'
'-x+1/2,-y,z+1/2'
'x+1/2,y,-z+1/2'
'x+1/2,-y+1/2,-z+1/2'
'-x+1/2,y+1/2,z+1/2'
'-x,y+1/2,-z'
'x,-y+1/2,z'
loop_
_atom_site_label
_atom_site_fract_x
_atom_site_fract_y
_atom_site_fract_z
La1 0.024 0.250 0.106
La2 0.145 0.250 0.508
La3 0.188 0.750 0.286
Rh1 0.173 0.250 0.941
Pb1 0.091 0.750 0.675

[2]
# La4RhPb2, relaxed, DFT PBE-GGA
# Crystal system   monoclinic
# Distance to the lowest polymorph of the same formula   0.0 meV/atom
# Calculated formation energy   -0.58 eV/atom
data_La4RhPb2
_cell_length_a 6.829
_cell_length_b 7.086
_cell_length_c 9.806
_cell_angle_alpha 90.00
_cell_angle_beta 103.95
_cell_angle_gamma 90.00
_space_group_name_H-M_alt 'P 1 21/m 1'
_space_group_IT_number 11
loop_
_space_group_symop_operation_xyz
'x,y,z'
'-x,-y,-z'
'-x,y+1/2,-z'
'x,-y+1/2,z'
loop_
_atom_site_label
_atom_site_fract_x
_atom_site_fract_y
_atom_site_fract_z
La1 0.189 0.250 0.105
La2 0.277 0.750 0.397
La3 0.286 0.004 0.757
Rh1 0.474 0.250 0.354
Pb1 0.119 0.250 0.445
Pb2 0.308 0.750 0.057

[3]
# LaRhPb4, relaxed, DFT PBE-GGA
# Crystal system   cubic
# Calculated formation energy   0.26 eV/atom
data_LaRhPb4
_cell_length_a 8.929
_cell_length_b 8.929
_cell_length_c 8.929
_cell_angle_alpha 90.00
_cell_angle_beta 90.00
_cell_angle_gamma 90.00
_space_group_name_H-M_alt 'F -4 3 m'
_space_group_IT_number 216
_space_group_name_Hall 'F -4 2 3'
loop_
_atom_site_label
_atom_site_fract_x
_atom_site_fract_y
_atom_site_fract_z
La1 0.000 0.000 0.000
Rh1 0.250 0.250 0.250
Pb1 0.125 0.125 0.625

[4]
# La2Rh4Pb3, relaxed, DFT PBE-GGA
# Crystal system   orthorhombic
# Calculated formation energy   -0.51 eV/atom
data_La2Rh4Pb3
_cell_length_a 6.316
_cell_length_b 17.646
_cell_length_c 7.157
_cell_angle_alpha 90.00
_cell_angle_beta 90.00
_cell_angle_gamma 90.00
_space_group_name_H-M_alt 'C m c e'
_space_group_IT_number 64
_space_group_name_Hall '-C 2ac 2'
loop_
_atom_site_label
_atom_site_fract_x
_atom_site_fract_y
_atom_site_fract_z
La1 0.000 0.102 0.081
Rh1 0.000 0.161 0.464
Rh2 0.250 0.078 0.750
Pb1 0.000 0.000 0.500
Pb2 0.250 0.236 0.750

[5]
# LaRhPb3, relaxed, DFT PBE-GGA
# Crystal system   cubic
# Distance to the lowest polymorph of the same formula   1362.4 meV/atom
# Calculated formation energy   1.31 eV/atom
data_LaRhPb3
_cell_length_a 5.981
_cell_length_b 5.981
_cell_length_c 5.981
_cell_angle_alpha 90.00
_cell_angle_beta 90.00
_cell_angle_gamma 90.00
_space_group_name_H-M_alt 'P m -3 m'
_space_group_IT_number 221
_space_group_name_Hall '-P 4 2 3'
loop_
_atom_site_label
_atom_site_fract_x
_atom_site_fract_y
_atom_site_fract_z
La1 0.000 0.000 0.000
Rh1 0.500 0.500 0.500
Pb1 0.000 0.000 0.500

[6]
# LaRhPb, relaxed, DFT PBE-GGA
# Crystal system   orthorhombic
# Calculated formation energy   -0.67 eV/atom
data_LaRhPb
_cell_length_a 13.748
_cell_length_b 4.021
_cell_length_c 8.024
_cell_angle_alpha 90.00
_cell_angle_beta 90.00
_cell_angle_gamma 90.00
_space_group_name_H-M_alt 'P m m a'
_space_group_IT_number 51
loop_
_space_group_symop_operation_xyz
'x,y,z'
'-x,-y,-z'
'-x+1/2,-y,z'
'x+1/2,y,-z'
'x+1/2,-y,-z'
'-x+1/2,y,z'
'-x,y,-z'
'x,-y,z'
loop_
_atom_site_label
_atom_site_fract_x
_atom_site_fract_y
_atom_site_fract_z
La1 0.045 0.000 0.219
La2 0.250 0.000 0.850
Rh1 0.100 0.500 0.931
Rh2 0.250 0.000 0.445
Pb1 0.119 0.500 0.568
Pb2 0.250 0.500 0.192

[7]
# La6Rh3Pb, relaxed, DFT PBE-GGA
# Crystal system   monoclinic
# Calculated formation energy   -0.62 eV/atom
data_La6Rh3Pb
_cell_length_a 12.099
_cell_length_b 4.227
_cell_length_c 12.660
_cell_angle_alpha 90.00
_cell_angle_beta 107.21
_cell_angle_gamma 90.00
_space_group_name_H-M_alt 'P 1 21/m 1'
_space_group_IT_number 11
loop_
_space_group_symop_operation_xyz
'x,y,z'
'-x,-y,-z'
'-x,y+1/2,-z'
'x,-y+1/2,z'
loop_
_atom_site_label
_atom_site_fract_x
_atom_site_fract_y
_atom_site_fract_z
La1 0.021 0.250 0.388
La2 0.110 0.250 0.948
La3 0.207 0.750 0.257
La4 0.293 0.750 0.767
La5 0.350 0.250 0.531
La6 0.420 0.750 0.087
Rh1 0.041 0.250 0.162
Rh2 0.174 0.750 0.490
Rh3 0.344 0.250 0.919
Pb1 0.449 0.250 0.308

[8]
# LaSbRh3Pb, relaxed, DFT PBE-GGA
# Crystal system   orthorhombic
# Formation energy without anion corrections   -0.43 eV per atom
data_LaSbRh3Pb
_cell_length_a 5.791
_cell_length_b 17.138
_cell_length_c 5.821
_cell_angle_alpha 90.00
_cell_angle_beta 90.00
_cell_angle_gamma 90.00
_space_group_name_H-M_alt 'C m c m'
_space_group_IT_number 63
_space_group_name_Hall '-C 2c 2'
loop_
_atom_site_label
_atom_site_fract_x
_atom_site_fract_y
_atom_site_fract_z
La1 0.000 0.236 0.250
Sb1 0.000 0.410 0.750
Rh1 0.000 0.260 0.750
Rh2 0.247 0.000 0.000
Pb1 0.000 0.103 0.750

[9]
# LaSbRhPb2, relaxed, DFT PBE-GGA
# Crystal system   tetragonal
# Formation energy without anion corrections   -0.41 eV per atom
data_LaSbRhPb2
_cell_length_a 5.283
_cell_length_b 5.283
_cell_length_c 5.361
_cell_angle_alpha 90.00
_cell_angle_beta 90.00
_cell_angle_gamma 90.00
_space_group_name_H-M_alt 'P 4/m m m'
_space_group_IT_number 123
_space_group_name_Hall '-P 4 2'
loop_
_atom_site_label
_atom_site_fract_x
_atom_site_fract_y
_atom_site_fract_z
La1 0.000 0.000 0.000
Sb1 0.500 0.500 0.000
Rh1 0.000 0.000 0.500
Pb1 0.000 0.500 0.500

[10]
# La2ScRhPb, relaxed, DFT PBE-GGA
# Crystal system   tetragonal
# Calculated formation energy   -0.48 eV/atom
data_La2ScRhPb
_cell_length_a 5.482
_cell_length_b 5.482
_cell_length_c 5.154
_cell_angle_alpha 90.00
_cell_angle_beta 90.00
_cell_angle_gamma 90.00
_space_group_name_H-M_alt 'P 4/m m m'
_space_group_IT_number 123
_space_group_name_Hall '-P 4 2'
loop_
_atom_site_label
_atom_site_fract_x
_atom_site_fract_y
_atom_site_fract_z
La1 0.000 0.500 0.000
Sc1 0.000 0.000 0.500
Rh1 0.000 0.000 0.000
Pb1 0.500 0.500 0.500

[11]
# LaSn2RhPb, relaxed, DFT PBE-GGA
# Crystal system   tetragonal
# Calculated formation energy   -0.45 eV/atom
data_LaSn2RhPb
_cell_length_a 5.178
_cell_length_b 5.178
_cell_length_c 5.351
_cell_angle_alpha 90.00
_cell_angle_beta 90.00
_cell_angle_gamma 90.00
_space_group_name_H-M_alt 'P 4/m m m'
_space_group_IT_number 123
_space_group_name_Hall '-P 4 2'
loop_
_atom_site_label
_atom_site_fract_x
_atom_site_fract_y
_atom_site_fract_z
La1 0.000 0.000 0.000
Sn1 0.000 0.500 0.500
Rh1 0.000 0.000 0.500
Pb1 0.500 0.500 0.000

[12]
# La2Sn3Rh4Pb, relaxed, DFT PBE-GGA
# Crystal system   tetragonal
# Calculated formation energy   -0.67 eV/atom
data_La2Sn3Rh4Pb
_cell_length_a 4.573
_cell_length_b 4.573
_cell_length_c 10.790
_cell_angle_alpha 90.00
_cell_angle_beta 90.00
_cell_angle_gamma 90.00
_space_group_name_H-M_alt 'P -4 m 2'
_space_group_IT_number 115
loop_
_space_group_symop_operation_xyz
'x,y,z'
'y,-x,-z'
'-x,-y,z'
'-y,x,-z'
'-x,y,z'
'-y,-x,-z'
'x,-y,z'
'y,x,-z'
loop_
_atom_site_label
_atom_site_fract_x
_atom_site_fract_y
_atom_site_fract_z
La1 0.000 0.500 0.247
Sn1 0.000 0.500 0.875
Sn2 0.500 0.500 0.500
Rh1 0.000 0.000 0.000
Rh2 0.000 0.500 0.635
Rh3 0.500 0.500 0.000
Pb1 0.000 0.000 0.500

The raw total energy results, record by record, are as follows: -5.822, -5.504, -4.264, -6.106, -3.371, -5.997, -6.157, -6.237, -5.173, -5.929, -5.249, -6.167 eV/atom.
The size of the total moment results, record by record, are as follows: 0.00, 0.00, 0.85, 0.00, 0.00, 0.00, 0.00, 0.00, 0.00, 0.00, 0.00, 0.00 μB/f.u..